Entry from Alexandria: a relaxed structure of Ti2GaHSe (PBE).

Cell and atoms, written as CIF:
```
data_Ti2GaHSe
_cell_length_a 4.937
_cell_length_b 4.937
_cell_length_c 3.306
_cell_angle_alpha 90.00
_cell_angle_beta 90.00
_cell_angle_gamma 90.00
_symmetry_space_group_name_H-M 'P 1'
_symmetry_Int_Tables_number 1
_symmetry_space_group_name_Hall 'P 1'
loop_
_atom_site_label
_atom_site_type_symbol
_atom_site_fract_x
_atom_site_fract_y
_atom_site_fract_z
Ti1 Ti 0.000 0.500 0.000
Ti2 Ti 0.500 0.000 0.000
Ga1 Ga 0.000 0.000 0.500
H1 H 0.500 0.500 0.500
Se1 Se 0.500 0.500 0.000
```

Values from the calculation:
* symmetry: P4/mmm
* size of the total moment: 1.25 μB per cell
* DOS at the Fermi energy: 4.66 states/eV/f.u.
* DFT total energy: -25.22 eV per cell